[1]
Here is a relaxed MgB3Os crystal from Alexandria via LeMat-Bulk. Energies are from PBE-GGA.

Geometry as POSCAR:
```
MgB3Os
1.0
-2.287 2.640 2.184
-3.407 -2.031 -1.112
0.364 -2.424 3.311
B Os Mg
3 1 1
Cartesian
-1.704 -1.015 -0.556
0.182 -1.212 1.656
-1.143 1.320 1.092
0.000 0.000 0.000
-2.665 -0.907 2.192
```

Calculated values
* relative energy among the computed polymorphs: 0 meV per atom
* crystal system: cubic
* formation enthalpy at 0 K: 73.8 kJ/mol of atoms

[2]
Here is a relaxed MgB3Os crystal from Alexandria via LeMat-Bulk. Energies are from PBE-GGA.

Geometry as POSCAR:
```
MgB3Os
1.0
3.991 0.000 0.000
0.000 3.991 0.000
0.000 0.000 3.991
Mg B Os
1 3 1
Cartesian
0.000 0.000 0.000
0.000 0.000 1.995
1.995 0.000 0.000
0.000 1.995 0.000
1.995 1.995 1.995
```

Calculated values
* relative energy among the computed polymorphs: 2062 meV per atom
* crystal system: cubic
* formation enthalpy at 0 K: 272.7 kJ/mol of atoms

[3]
Here is a relaxed MgB2Os2 crystal from Alexandria via LeMat-Bulk. Energies are from PBE-GGA.

Geometry as POSCAR:
```
MgB2Os2
1.0
3.745 0.000 0.000
0.000 3.745 0.000
1.873 1.873 4.613
Os Mg B
2 1 2
Cartesian
1.873 1.873 1.230
3.745 3.745 3.382
0.000 0.000 0.000
1.873 3.745 2.306
3.745 1.873 2.306
```

Calculated values
* relative energy among the computed polymorphs: 242 meV per atom
* crystal system: tetragonal
* formation enthalpy at 0 K: 21.4 kJ/mol of atoms

[4]
Here is a relaxed MgBOs crystal from Alexandria via LeMat-Bulk. Energies are from PBE-GGA.

Geometry as POSCAR:
```
MgBOs
1.0
3.940 0.000 0.000
0.000 4.131 -0.547
0.000 -1.644 5.299
B Mg Os
2 2 2
Cartesian
2.955 0.265 3.198
0.985 2.222 1.554
2.955 3.276 0.001
0.985 -0.789 4.751
2.955 2.275 2.516
0.985 0.211 2.236
```

Calculated values
* relative energy among the computed polymorphs: 10 meV per atom
* crystal system: monoclinic
* formation enthalpy at 0 K: -7.2 kJ/mol of atoms

[5]
Here is a relaxed Mg2BOs2 crystal from Alexandria via LeMat-Bulk. Energies are from PBE-GGA.

Geometry as POSCAR:
```
Mg2BOs2
1.0
-3.209 3.206 -3.488
-1.074 -4.596 -3.236
-3.633 -0.913 2.503
Mg Os B
4 4 2
Cartesian
-3.065 -0.154 -0.451
-4.848 0.684 -2.734
-3.068 -2.986 -1.488
-4.851 -2.148 -3.771
-0.867 -1.094 -1.657
-2.018 -2.778 -3.942
-2.265 1.389 -2.782
-3.416 -0.296 -5.067
-2.141 -0.695 -3.362
0.000 0.000 0.000
```

Calculated values
* crystal system: tetragonal
* formation enthalpy at 0 K: -2.9 kJ/mol of atoms

[6]
Here is a relaxed MgBOs crystal from Alexandria via LeMat-Bulk. Energies are from PBE-GGA.

Geometry as POSCAR:
```
MgBOs
1.0
-0.369 0.406 -2.887
-0.853 -2.798 -0.284
-3.847 2.479 2.335
Mg Os B
1 1 1
Cartesian
-5.014 0.071 -0.845
-2.524 0.726 0.424
-2.600 -0.624 -1.251
```

Calculated values
* relative energy among the computed polymorphs: 25 meV per atom
* crystal system: tetragonal
* formation enthalpy at 0 K: -5.7 kJ/mol of atoms

[7]
Here is a relaxed Mg2BOsPd crystal from Alexandria via LeMat-Bulk. Energies are from PBE-GGA.

Geometry as POSCAR:
```
Mg2BOsPd
1.0
-0.381 3.035 3.177
2.218 -2.244 2.410
3.638 2.006 -1.480
Mg Pd Os B
2 1 1 1
Cartesian
1.819 1.003 -0.740
-0.191 1.518 1.588
2.737 1.399 2.053
1.109 -1.122 1.205
0.000 0.000 0.000
```

Calculated values
* crystal system: tetragonal
* formation enthalpy at 0 K: 7.6 kJ/mol of atoms

[8]
Here is a relaxed MgBOsPd2 crystal from Alexandria via LeMat-Bulk. Energies are from PBE-GGA.

Geometry as POSCAR:
```
MgBOsPd2
1.0
4.790 0.000 0.000
0.000 4.986 0.000
0.000 0.000 4.790
B Mg Pd Os
1 1 2 1
Cartesian
2.395 2.493 2.395
0.000 2.493 0.000
0.000 0.000 2.395
2.395 0.000 0.000
0.000 0.000 0.000
```

Calculated values
* crystal system: tetragonal
* formation enthalpy at 0 K: 176.8 kJ/mol of atoms

[9]
Here is a relaxed MgB2OsRu crystal from Alexandria via LeMat-Bulk. Energies are from PBE-GGA.

Geometry as POSCAR:
```
MgB2OsRu
1.0
-1.373 0.262 3.785
3.302 -3.258 1.423
2.618 2.979 0.744
B Mg Os Ru
2 1 1 1
Cartesian
1.309 1.489 0.372
-0.686 0.131 1.893
1.651 -1.629 0.711
0.000 0.000 0.000
2.274 -0.008 2.976
```

Calculated values
* crystal system: tetragonal
* formation enthalpy at 0 K: 113.9 kJ/mol of atoms

[10]
Here is a relaxed MgSc2BOs crystal from Alexandria via LeMat-Bulk. Energies are from PBE-GGA.

Geometry as POSCAR:
```
MgSc2BOs
1.0
-0.604 4.169 -2.103
-4.414 -1.202 -1.114
-1.301 1.563 3.471
Sc B Os Mg
2 1 1 1
Cartesian
-2.207 -0.601 -0.557
-0.302 2.084 -1.052
0.000 0.000 0.000
-0.651 0.781 1.735
-3.160 2.265 0.127
```

Calculated values
* crystal system: tetragonal
* formation enthalpy at 0 K: -27.5 kJ/mol of atoms

[11]
Here is a relaxed Mg2SiBOs crystal from Alexandria via LeMat-Bulk. Energies are from PBE-GGA.

Geometry as POSCAR:
```
Mg2SiBOs
1.0
-2.267 -2.896 2.391
3.418 -1.244 1.733
-0.507 3.003 3.157
B Si Mg Os
1 1 2 1
Cartesian
0.000 0.000 0.000
0.322 -0.569 3.640
-0.254 1.502 1.578
-1.133 -1.448 1.195
1.709 -0.622 0.867
```

Calculated values
* crystal system: tetragonal
* calculated total energy: -25.168 eV/f.u.

[12]
Here is a relaxed Mg2B2Os5W crystal from Alexandria via LeMat-Bulk. Energies are from PBE-GGA.

Geometry as POSCAR:
```
Mg2B2Os5W
1.0
-2.001 2.161 0.456
-4.204 -5.317 6.757
5.714 3.892 6.618
Mg Os B W
4 10 4 2
Cartesian
-1.834 -2.911 5.752
0.414 -1.736 10.041
3.344 1.487 7.622
1.097 0.312 3.334
1.069 1.798 5.904
-1.559 -1.061 7.927
-1.518 0.193 2.161
1.028 0.544 11.670
3.176 3.755 5.874
-1.197 -0.110 5.003
-3.102 -1.578 3.606
0.707 0.846 8.828
1.857 3.027 3.537
-3.666 -3.018 7.957
-0.899 -1.541 3.362
2.409 0.117 10.013
-1.530 -3.198 8.443
3.040 1.773 4.931
0.755 -0.712 6.687
0.000 0.000 0.000
```

Calculated values
* crystal system: tetragonal
* formation enthalpy at 0 K: -0.6 kJ/mol of atoms

[13]
Here is a relaxed YMg2BOs crystal from Alexandria via LeMat-Bulk. Energies are from PBE-GGA.

Geometry as POSCAR:
```
YMg2BOs
1.0
4.928 0.000 0.000
0.000 4.151 0.000
0.000 0.000 4.928
Mg B Y Os
2 1 1 1
Cartesian
0.000 0.000 2.464
2.464 0.000 0.000
0.000 2.076 0.000
2.464 2.076 2.464
0.000 0.000 0.000
```

Calculated values
* crystal system: tetragonal
* formation enthalpy at 0 K: 30.1 kJ/mol of atoms

[14]
Here is a relaxed Y2MgBOs crystal from Alexandria via LeMat-Bulk. Energies are from PBE-GGA.

Geometry as POSCAR:
```
Y2MgBOs
1.0
5.111 0.000 0.000
0.000 5.111 0.000
0.000 0.000 4.030
Os Y B Mg
1 2 1 1
Cartesian
0.000 0.000 2.015
0.000 2.555 0.000
2.555 0.000 0.000
0.000 0.000 0.000
2.555 2.555 2.015
```

Calculated values
* crystal system: tetragonal
* formation enthalpy at 0 K: -21.9 kJ/mol of atoms

[15]
Here is a relaxed MgZnBOs2 crystal from Alexandria via LeMat-Bulk. Energies are from PBE-GGA.

Geometry as POSCAR:
```
MgZnBOs2
1.0
-0.875 4.015 -0.356
-4.043 -0.888 -0.075
-0.149 0.332 4.109
B Os Zn Mg
1 2 1 1
Cartesian
0.000 0.000 0.000
-0.437 2.008 -0.178
-0.075 0.166 2.054
-2.022 -0.444 -0.038
-2.534 1.730 1.839
```

Calculated values
* crystal system: tetragonal
* formation enthalpy at 0 K: 20.6 kJ/mol of atoms

[16]
Here is a relaxed MgZr2BOs crystal from Alexandria via LeMat-Bulk. Energies are from PBE-GGA.

Geometry as POSCAR:
```
MgZr2BOs
1.0
-0.129 -5.090 -0.632
3.845 0.083 -1.454
1.813 -0.637 4.758
Zr Mg Os B
2 1 1 1
Cartesian
-0.064 -2.545 -0.316
0.906 -0.318 2.379
2.765 -2.822 1.336
0.000 0.000 0.000
1.922 0.042 -0.727
```

Calculated values
* crystal system: tetragonal
* formation enthalpy at 0 K: 47.9 kJ/mol of atoms

[17]
Here is a relaxed MgBP crystal from Alexandria via LeMat-Bulk. Energies are from PBE-GGA.

Geometry as POSCAR:
```
MgBP
1.0
3.194 0.000 -0.004
0.000 7.539 0.000
-1.379 0.000 7.360
Mg P B
4 4 4
Cartesian
1.597 5.647 -0.002
0.908 1.877 3.678
1.597 1.893 -0.002
0.908 5.662 3.678
1.617 3.770 1.974
0.198 3.770 5.382
0.888 0.000 1.701
0.927 0.000 5.655
0.014 3.770 0.825
1.801 3.770 6.531
2.491 0.000 2.851
-0.676 0.000 4.505
```

Calculated values
* relative energy among the computed polymorphs: 5 meV per atom
* crystal system: monoclinic
* formation enthalpy at 0 K: -26.2 kJ/mol of atoms

[18]
Here is a relaxed MgBP2 crystal from Alexandria via LeMat-Bulk. Energies are from PBE-GGA.

Geometry as POSCAR:
```
MgBP2
1.0
5.906 0.000 0.000
0.000 5.906 0.000
2.953 2.953 3.528
P Mg B
4 2 2
Cartesian
4.430 4.945 2.646
7.383 6.868 2.646
3.915 1.477 0.882
1.991 4.430 0.882
5.906 2.953 1.764
0.000 0.000 0.000
2.953 5.906 1.764
2.953 2.953 0.000
```

Calculated values
* relative energy among the computed polymorphs: 0 meV per atom
* crystal system: tetragonal
* formation enthalpy at 0 K: -12.4 kJ/mol of atoms

[19]
Here is a relaxed Mg3BP crystal from Alexandria via LeMat-Bulk. Energies are from PBE-GGA.

Geometry as POSCAR:
```
Mg3BP
1.0
-2.158 -1.633 3.556
-1.113 -3.637 -2.346
3.751 -2.019 1.350
Mg B P
3 1 1
Cartesian
1.876 -1.009 0.675
-0.556 -1.818 -1.173
-1.079 -0.817 1.778
0.000 0.000 0.000
0.240 -3.644 1.280
```

Calculated values
* relative energy among the computed polymorphs: 0 meV per atom
* crystal system: cubic
* formation enthalpy at 0 K: 18.5 kJ/mol of atoms

[20]
Here is a relaxed MgB2P2 crystal from Alexandria via LeMat-Bulk. Energies are from PBE-GGA.

Geometry as POSCAR:
```
MgB2P2
1.0
-0.886 -0.126 -6.108
4.389 -4.306 -0.547
-2.139 -2.225 0.356
P B Mg
4 4 2
Cartesian
2.051 -4.827 -4.294
-0.686 -1.830 -2.005
1.674 -3.960 -1.138
-0.309 -2.698 -5.161
1.665 -1.734 -0.832
1.838 -2.699 -5.824
3.595 -3.925 -2.933
-0.091 -0.508 -3.722
0.000 0.000 0.000
1.752 -2.216 -3.328
```

Calculated values
* relative energy among the computed polymorphs: 274 meV per atom
* crystal system: tetragonal
* formation enthalpy at 0 K: 63.2 kJ/mol of atoms

Number 1: total magnetization 0.00 Bohr magnetons per cell. Number 2: total magnetization 0.00 Bohr magnetons per cell. Number 3: total magnetization 0.00 Bohr magnetons per cell. Number 4: total magnetization 0.00 Bohr magnetons per cell. Number 5: total magnetization 0.00 Bohr magnetons per cell. Number 6: total magnetization 0.00 Bohr magnetons per cell. Number 7: total magnetization 0.00 Bohr magnetons per cell. Number 8: total magnetization 0.00 Bohr magnetons per cell. Number 9: total magnetization 2.12 Bohr magnetons per cell. Number 10: total magnetization 0.00 Bohr magnetons per cell. Number 11: total magnetization 0.00 Bohr magnetons per cell. Number 12: total magnetization 0.00 Bohr magnetons per cell. Number 13: total magnetization 0.00 Bohr magnetons per cell. Number 14: total magnetization 0.00 Bohr magnetons per cell. Number 15: total magnetization 0.00 Bohr magnetons per cell. Number 16: total magnetization 0.00 Bohr magnetons per cell. Number 17: total magnetization 0.00 Bohr magnetons per cell. Number 18: total magnetization 0.00 Bohr magnetons per cell. Number 19: total magnetization 0.00 Bohr magnetons per cell. Number 20: total magnetization 0.00 Bohr magnetons per cell.